[1]
# La4Tl2Ir

An optimized crystal structure of La4Tl2Ir (PBE-GGA, Alexandria via LeMat-Bulk).

Structure (POSCAR):
```
La4Tl2Ir
1.0
-2.8524 3.3931 -1.6643
-6.2086 -1.9753 -0.1218
-3.6778 3.4487 6.5992
Tl Ir La
2 1 4
Cartesian
-7.3387 2.2416 3.6770
-5.4002 2.6249 1.1360
0.0000 0.0000 0.0000
-3.8668 2.0915 4.1559
-8.8721 2.7750 0.6571
-2.8758 0.7925 -0.1910
-9.8630 4.0740 5.0040
```

Results
- symmetry = C2/m

***

[2]
# La2TlIr2

An optimized crystal structure of La2TlIr2 (PBE-GGA, Alexandria via LeMat-Bulk).

Structure (POSCAR):
```
La2TlIr2
1.0
3.8818 0.0000 0.0000
0.0000 3.8818 0.0000
1.9409 1.9409 9.0300
Tl Ir La
1 2 2
Cartesian
0.0000 0.0000 0.0000
3.8818 1.9409 4.5150
1.9409 3.8818 4.5150
1.9409 1.9409 2.3477
3.8818 3.8818 6.6824
```

Results
- symmetry = I4/mmm

***

[3]
# La5TlIr2

An optimized crystal structure of La5TlIr2 (PBE-GGA, Alexandria via LeMat-Bulk).

Structure (POSCAR):
```
La5TlIr2
1.0
-5.2751 -4.1565 4.5540
5.1599 -6.2567 0.2664
3.0544 7.9317 3.5484
La Tl Ir
10 2 4
Cartesian
3.1060 -0.7756 5.2283
1.6177 -7.2832 4.7938
0.0000 0.0000 0.0000
-0.0576 -5.2066 2.4102
1.3215 4.8017 3.5750
-0.4052 1.6190 5.8990
4.8327 2.4071 2.9043
3.3444 -4.1004 2.4698
-1.8934 -4.8886 5.4645
-0.1668 -1.7059 3.1405
1.4408 -3.8440 5.3895
1.4984 1.3626 2.9793
1.1302 -2.8366 0.7289
-2.6535 -3.5250 2.9467
2.5384 -6.8882 1.8736
-1.2453 -7.5766 4.0915
```

Results
- symmetry = I4/mcm

***

For the records above, the corresponding ΔH_f (0 K) values read -0.49 -0.32 -0.59 eV/atom.
For the records above, the corresponding M_tot values read 0.00 0.00 0.00 μB per atom.